(1)
La4GeP2Br: optimized geometry, PBE-GGA.

Cell and atoms, written as CIF:
```
data_La4GeP2Br
_chemical_formula_sum 'La4 Ge1 P2 Br1'
_symmetry_space_group_name_H-M 'P 1'
_symmetry_Int_Tables_number 1
_cell_length_a 7.479
_cell_length_b 4.312
_cell_length_c 7.531
_cell_angle_alpha 90.00
_cell_angle_beta 108.92
_cell_angle_gamma 90.00
loop_
_symmetry_equiv_pos_as_xyz
'x,y,z'
loop_
_atom_site_label
_atom_site_fract_x
_atom_site_fract_y
_atom_site_fract_z
La1 0.232 0.000 0.228
La2 0.247 0.500 0.762
La3 0.753 0.500 0.238
La4 0.768 0.000 0.772
Ge1 0.000 0.000 0.500
P1 0.000 0.500 0.000
P2 0.500 0.000 0.000
Br1 0.500 0.500 0.500
```

DOS(E_F): 0.36 states/eV per atom
Raw formation energy: -1.434 eV/atom

(2)
Nd12DyTm5: optimized geometry, PBE-GGA.

Cell and atoms, written as CIF:
```
data_Nd12DyTm5
_chemical_formula_sum 'Nd12 Dy1 Tm5'
_symmetry_space_group_name_H-M 'P 1'
_symmetry_Int_Tables_number 1
_cell_length_a 10.852
_cell_length_b 10.852
_cell_length_c 5.136
_cell_angle_alpha 90.00
_cell_angle_beta 90.00
_cell_angle_gamma 90.42
loop_
_symmetry_equiv_pos_as_xyz
'x,y,z'
loop_
_atom_site_label
_atom_site_fract_x
_atom_site_fract_y
_atom_site_fract_z
Nd1 0.002 0.669 0.500
Nd2 0.164 0.164 0.000
Nd3 0.168 0.502 0.000
Nd4 0.331 0.998 0.500
Nd5 0.335 0.335 0.500
Nd6 0.498 0.832 0.000
Nd7 0.502 0.168 0.000
Nd8 0.665 0.665 0.500
Nd9 0.669 0.002 0.500
Nd10 0.832 0.498 0.000
Nd11 0.836 0.836 0.000
Nd12 0.998 0.331 0.500
Dy1 0.500 0.500 0.000
Tm1 0.000 0.000 0.500
Tm2 0.167 0.833 0.000
Tm3 0.333 0.667 0.500
Tm4 0.667 0.333 0.500
Tm5 0.833 0.167 0.000
```

DOS(E_F): 1.56 states/eV per atom
Energy of formation from the pure elements: 0.0241 eV/atom

(3)
La6InSi2: optimized geometry, PBE-GGA.

Cell and atoms, written as CIF:
```
data_La6InSi2
_chemical_formula_sum 'La12 In2 Si4'
_symmetry_space_group_name_H-M 'P 1'
_symmetry_Int_Tables_number 1
_cell_length_a 8.997
_cell_length_b 8.997
_cell_length_c 8.997
_cell_angle_alpha 112.09
_cell_angle_beta 109.52
_cell_angle_gamma 106.85
loop_
_symmetry_equiv_pos_as_xyz
'x,y,z'
loop_
_atom_site_label
_atom_site_fract_x
_atom_site_fract_y
_atom_site_fract_z
La1 0.035 0.242 0.793
La2 0.184 0.275 0.459
La3 0.184 0.725 0.908
La4 0.320 0.027 0.707
La5 0.320 0.613 0.293
La6 0.449 0.242 0.207
La7 0.551 0.758 0.793
La8 0.680 0.387 0.707
La9 0.680 0.973 0.293
La10 0.816 0.275 0.092
La11 0.816 0.725 0.541
La12 0.965 0.758 0.207
In1 0.000 0.000 0.000
In2 0.500 0.500 0.000
Si1 0.111 0.611 0.500
Si2 0.376 0.000 0.376
Si3 0.624 0.000 0.624
Si4 0.889 0.389 0.500
```

DOS(E_F): 1.01 states/eV per atom
Raw formation energy: -0.487 eV/atom

Number 1 is which compound? La4GeP2Br